(1)
Compound: Ag2HgI4
Source: the Alexandria database
Functional: PBE
Structure: optimized geometry

Unit cell a=4.7159 b=4.7159 c=46.7107 alpha=90.00 beta=90.00 gamma=120.00
Space group R3m (No. 160, hexagonal axes)
Symmetry-distinct sites (fractional):
Ag  0.0000  0.0000  0.0000 x3
Ag  0.0000  0.0000  0.4248 x3
Hg  0.0000  0.0000  0.1887 x3
I  0.0000  0.0000  0.2457 x3
I  0.0000  0.0000  0.3252 x3
I  0.0000  0.0000  0.4903 x3
I  0.0000  0.0000  0.7431 x3

Results
ΔE_f (raw)   -0.188 eV/atom
Crystal system   trigonal



(2)
Compound: KTiNbO5
Source: the Alexandria database
Functional: PBE
Structure: optimized geometry

Unit cell a=6.522 b=3.829 c=18.827 alpha=90.00 beta=90.00 gamma=90.00
Space group Pnma (No. 62)
Symmetry-distinct sites (fractional):
K  0.226  0.250  0.193 x4
Ti  0.178  0.250  0.534 x4
Nb  0.224  0.250  0.891 x4
O  0.031  0.250  0.620 x4
O  0.071  0.750  0.074 x4
O  0.143  0.750  0.511 x4
O  0.157  0.250  0.797 x4
O  0.234  0.750  0.922 x4

Results
ΔE_f (raw)   -2.680 eV/atom
Crystal system   orthorhombic



(3)
Compound: Dy5Mg4Sc
Source: the Alexandria database
Functional: PBE
Structure: optimized geometry

Unit cell a=3.715 b=3.715 c=19.839 alpha=90.00 beta=90.00 gamma=90.00
Space group P4/mmm (No. 123)
Symmetry-distinct sites (fractional):
Dy  0.000  0.000  0.000 x1
Dy  0.000  0.000  0.195 x2
Dy  0.000  0.000  0.395 x2
Mg  0.500  0.500  0.098 x2
Mg  0.500  0.500  0.294 x2
Sc  0.500  0.500  0.500 x1

Results
E_form   -0.047 eV/atom
Crystal system   tetragonal



(4)
Compound: K4AgPb
Source: the Alexandria database
Functional: PBE
Structure: optimized geometry

Unit cell a=9.989 b=9.989 c=9.989 alpha=90.00 beta=90.00 gamma=90.00
Space group F-43m (No. 216)
Symmetry-distinct sites (fractional):
K  0.125  0.125  0.125 x16
Ag  0.000  0.000  0.500 x4
Pb  0.250  0.250  0.750 x4

Results
E_form   0.338 eV/atom
Relative energy among the computed polymorphs   392 meV/atom
Crystal system   cubic



(5)
Compound: Sm6Tl2Hg
Source: the Alexandria database
Functional: PBE
Structure: optimized geometry

Unit cell a=9.0758 b=9.0758 c=3.8220 alpha=90.00 beta=90.00 gamma=120.00
Space group P-62m (No. 189)
Symmetry-distinct sites (fractional):
Sm  0.0000  0.2751  0.0000 x3
Sm  0.0000  0.6090  0.5000 x3
Tl  0.3333  0.6667  0.0000 x2
Hg  0.0000  0.0000  0.5000 x1

Results
E_form   -0.276 eV/atom
Relative energy among the computed polymorphs   0 meV/atom
Crystal system   hexagonal



(6)
Compound: Cs2SmPdO4
Source: the Alexandria database
Functional: PBE
Structure: optimized geometry

Unit cell a=6.085 b=14.139 c=24.274 alpha=90.00 beta=90.00 gamma=90.00
Space group Fddd (No. 70, origin choice 2)
Symmetry-distinct sites (fractional):
Cs  0.125  0.125  0.315 x16
Sm  0.125  0.125  0.125 x8
Pd  0.125  0.125  0.625 x8
O  0.105  0.274  0.857 x32

Results
ΔE_f (raw)   -1.360 eV/atom
Crystal system   orthorhombic



(7)
Compound: HfZr2Mo
Source: the Alexandria database
Functional: PBE
Structure: optimized geometry

Unit cell a=7.654 b=7.654 c=5.901 alpha=90.00 beta=90.00 gamma=90.00
Space group I-42d (No. 122)
Symmetry-distinct sites (fractional):
Hf  0.000  0.000  0.000 x4
Zr  0.224  0.250  0.625 x8
Mo  0.000  0.000  0.500 x4

Results
E_form   0.512 eV/atom
Relative energy among the computed polymorphs   480 meV/atom
Crystal system   tetragonal



(8)
Compound: SmTlSnSe3
Source: the Alexandria database
Functional: PBE
Structure: optimized geometry

Unit cell a=4.224 b=16.917 c=11.507 alpha=90.00 beta=90.00 gamma=90.00
Space group Cmcm (No. 63)
Symmetry-distinct sites (fractional):
Sm  0.000  0.000  0.000 x4
Tl  0.000  0.301  0.250 x4
Sn  0.000  0.369  0.750 x4
Se  0.000  0.024  0.250 x4
Se  0.000  0.381  0.010 x8

Results
ΔE_f (raw)   -0.942 eV/atom
Crystal system   orthorhombic



(9)
Compound: Li2RuPtN
Source: the Alexandria database
Functional: PBE
Structure: optimized geometry

Unit cell a=3.978 b=3.978 c=3.804 alpha=90.00 beta=90.00 gamma=90.00
Space group P4/mmm (No. 123)
Symmetry-distinct sites (fractional):
Li  0.000  0.500  0.000 x2
Ru  0.000  0.000  0.500 x1
Pt  0.500  0.500  0.500 x1
N  0.000  0.000  0.000 x1

Results
ΔE_f (raw)   -0.254 eV/atom
Crystal system   tetragonal



(10)
Compound: Ho2Cd3Ga2
Source: the Alexandria database
Functional: PBE
Structure: optimized geometry

Unit cell a=4.248 b=20.737 c=3.605 alpha=90.00 beta=90.00 gamma=90.00
Space group Cmmm (No. 65)
Symmetry-distinct sites (fractional):
Ho  0.000  0.163  0.000 x4
Cd  0.000  0.000  0.000 x2
Cd  0.000  0.427  0.500 x4
Ga  0.000  0.285  0.500 x4

Results
E_form   -0.370 eV/atom
Crystal system   orthorhombic